Ta2NiSb after structural relaxation, computed with PBE-GGA.

Structure (CIF):
```
data_Ta2NiSb
_cell_length_a 2.968
_cell_length_b 4.147
_cell_length_c 5.661
_cell_angle_alpha 90.00
_cell_angle_beta 98.20
_cell_angle_gamma 90.00
_symmetry_space_group_name_H-M 'P 1 2/m 1'
_symmetry_Int_Tables_number 10
loop_
_symmetry_equiv_pos_as_xyz
'x,y,z'
'-x,-y,-z'
'-x,y,-z'
'x,-y,z'
loop_
_atom_site_label
_atom_site_type_symbol
_atom_site_fract_x
_atom_site_fract_y
_atom_site_fract_z
Ta1 Ta 0.028 0.000 0.268
Ni1 Ni 0.500 0.500 0.500
Sb1 Sb 0.500 0.500 0.000
```

Values from the calculation:
The calculation puts the density of states at the Fermi level at 2.87 states/eV per cell. The total energy is -8.300 eV per atom. The calculation puts the size of the total moment at 0.000 μB/atom. The uncorrected formation energy is 0.41 eV/f.u.

***

TaNi6Sb after structural relaxation, computed with PBE-GGA.

Structure (CIF):
```
data_TaNi6Sb
_cell_length_a 7.429
_cell_length_b 10.466
_cell_length_c 10.484
_cell_angle_alpha 90.00
_cell_angle_beta 90.00
_cell_angle_gamma 90.00
_symmetry_space_group_name_H-M 'C m m m'
_symmetry_Int_Tables_number 65
_symmetry_space_group_name_Hall '-C 2 2'
loop_
_atom_site_label
_atom_site_type_symbol
_atom_site_fract_x
_atom_site_fract_y
_atom_site_fract_z
Ta1 Ta 0.000 0.000 0.250
Ta2 Ta 0.000 0.245 0.000
Ni1 Ni 0.000 0.000 0.000
Ni2 Ni 0.000 0.000 0.500
Ni3 Ni 0.000 0.247 0.243
Ni4 Ni 0.000 0.500 0.000
Ni5 Ni 0.000 0.500 0.500
Ni6 Ni 0.244 0.124 0.370
Ni7 Ni 0.247 0.126 0.122
Sb1 Sb 0.000 0.248 0.500
Sb2 Sb 0.000 0.500 0.249
```

Values from the calculation:
The calculation puts the density of states at the Fermi level at 46.23 states/eV per cell. The total energy is -6.559 eV per atom. The calculation puts the size of the total moment at 0.000 μB/atom. The uncorrected formation energy is -1.81 eV/f.u.

***

Ta2NiSb after structural relaxation, computed with PBE-GGA.

Structure (CIF):
```
data_Ta2NiSb
_cell_length_a 6.525
_cell_length_b 6.525
_cell_length_c 6.525
_cell_angle_alpha 90.00
_cell_angle_beta 90.00
_cell_angle_gamma 90.00
_symmetry_space_group_name_H-M 'F -4 3 m'
_symmetry_Int_Tables_number 216
_symmetry_space_group_name_Hall 'F -4 2 3'
loop_
_atom_site_label
_atom_site_type_symbol
_atom_site_fract_x
_atom_site_fract_y
_atom_site_fract_z
Ta1 Ta 0.000 0.000 0.000
Ta2 Ta 0.250 0.250 0.250
Ni1 Ni 0.000 0.000 0.500
Sb1 Sb 0.250 0.250 0.750
```

Values from the calculation:
The calculation puts the density of states at the Fermi level at 12.33 states/eV per cell. The total energy is -8.096 eV per atom. The calculation puts the size of the total moment at 0.000 μB/atom. The uncorrected formation energy is 1.23 eV/f.u.

***

TaNi2Sb after structural relaxation, computed with PBE-GGA.

Structure (CIF):
```
data_TaNi2Sb
_cell_length_a 3.1200
_cell_length_b 3.1200
_cell_length_c 23.2525
_cell_angle_alpha 90.00
_cell_angle_beta 90.00
_cell_angle_gamma 120.00
_symmetry_space_group_name_H-M 'R 3 m'
_symmetry_Int_Tables_number 160
_symmetry_space_group_name_Hall 'R 3 -2"'
loop_
_atom_site_label
_atom_site_type_symbol
_atom_site_fract_x
_atom_site_fract_y
_atom_site_fract_z
Ta1 Ta 0.0000 0.0000 0.0000
Ni1 Ni 0.0000 0.0000 0.4844
Ni2 Ni 0.0000 0.0000 0.7431
Sb1 Sb 0.0000 0.0000 0.2310
```

Values from the calculation:
The calculation puts the density of states at the Fermi level at 11.65 states/eV per cell. The total energy is -6.614 eV per atom. The calculation puts the size of the total moment at 0.000 μB/atom. The uncorrected formation energy is 1.08 eV/f.u.

***

TaNi4Sb after structural relaxation, computed with PBE-GGA.

Structure (CIF):
```
data_TaNi4Sb
_cell_length_a 6.846
_cell_length_b 6.846
_cell_length_c 6.846
_cell_angle_alpha 90.00
_cell_angle_beta 90.00
_cell_angle_gamma 90.00
_symmetry_space_group_name_H-M 'F -4 3 m'
_symmetry_Int_Tables_number 216
_symmetry_space_group_name_Hall 'F -4 2 3'
loop_
_atom_site_label
_atom_site_type_symbol
_atom_site_fract_x
_atom_site_fract_y
_atom_site_fract_z
Ta1 Ta 0.000 0.000 0.000
Ni1 Ni 0.126 0.126 0.374
Sb1 Sb 0.250 0.250 0.750
```

Values from the calculation:
The calculation puts the density of states at the Fermi level at 25.50 states/eV per cell. The total energy is -6.616 eV per atom. The calculation puts the size of the total moment at 0.000 μB/atom. The uncorrected formation energy is -0.59 eV/f.u.

***

TaNi2Sb after structural relaxation, computed with PBE-GGA.

Structure (CIF):
```
data_TaNi2Sb
_cell_length_a 8.456
_cell_length_b 3.155
_cell_length_c 4.817
_cell_angle_alpha 90.00
_cell_angle_beta 102.37
_cell_angle_gamma 90.00
_symmetry_space_group_name_H-M 'C 1 m 1'
_symmetry_Int_Tables_number 8
loop_
_symmetry_equiv_pos_as_xyz
'x,y,z'
'x,-y,z'
'x+1/2,y+1/2,z'
'x+1/2,-y+1/2,z'
loop_
_atom_site_label
_atom_site_type_symbol
_atom_site_fract_x
_atom_site_fract_y
_atom_site_fract_z
Ta1 Ta 0.000 0.000 0.000
Ni1 Ni 0.021 0.500 0.580
Ni2 Ni 0.261 0.000 0.801
Sb1 Sb 0.272 0.500 0.357
```

Values from the calculation:
The calculation puts the density of states at the Fermi level at 4.31 states/eV per cell. The total energy is -6.889 eV per atom. The calculation puts the size of the total moment at 0.000 μB/atom. The uncorrected formation energy is -0.02 eV/f.u.

***

Values for volume, Å³ per cell, ordered as above
69.0 815.1 277.8 196.0 320.8 125.5